No. 1
This record from Alexandria via LeMat-Bulk describes an optimized crystal structure of Th4PPtS2. The functional is GGA-PBE.

Computed properties:
As for the symmetry: No. 10. For the uncorrected formation energy, the calculation gives -1570 meV/atom. The mass density comes out at 10.1 Mg/m³.

a b c (Å): 4.0924 7.1212 7.2519
angles (deg): 70.64 90.00 90.00
Fractional positions:
Th (0.0000, 0.7472, 0.7501)
Th (0.0000, 0.2528, 0.2499)
Th (0.5000, 0.7497, 0.2557)
Th (0.5000, 0.2503, 0.7443)
P (0.0000, 0.5000, 0.5000)
Pt (0.5000, 0.5000, 0.0000)
S (0.0000, 0.0000, 0.0000)
S (0.5000, 0.0000, 0.5000)

No. 2
This record from Alexandria via LeMat-Bulk describes an optimized crystal structure of Th6P3PtS2. The functional is GGA-PBE.

Computed properties:
As for the symmetry: No. 12. For the uncorrected formation energy, the calculation gives -1569 meV/atom. The mass density comes out at 9.7 Mg/m³.

a b c (Å): 4.0903 8.3139 9.2705
angles (deg): 103.42 102.74 90.00
Fractional positions:
Th (0.3306, 0.9195, 0.6611)
Th (0.6654, 0.5853, 0.3308)
Th (0.6694, 0.0805, 0.3389)
Th (0.9994, 0.2514, 0.9988)
Th (0.0006, 0.7486, 0.0012)
Th (0.3346, 0.4147, 0.6692)
P (0.5000, 0.5000, 0.0000)
P (0.8335, 0.1681, 0.6669)
P (0.1665, 0.8319, 0.3331)
Pt (0.5000, 0.0000, 0.0000)
S (0.8324, 0.6666, 0.6649)
S (0.1676, 0.3334, 0.3351)

No. 3
This record from Alexandria via LeMat-Bulk describes an optimized crystal structure of TiPPtS2. The functional is GGA-PBE.

Computed properties:
As for the symmetry: No. 123. The offset from the most stable computed form comes out at 0.000 eV per atom. For the uncorrected formation energy, the calculation gives 356 meV/atom. The mass density comes out at 5.7 Mg/m³.

a b c (Å): 4.5498 4.5498 4.7961
angles (deg): 90.00 90.00 90.00
Fractional positions:
P (0.0000, 0.0000, 0.5000)
S (0.0000, 0.5000, 0.0000)
S (0.5000, 0.0000, 0.0000)
Pt (0.5000, 0.5000, 0.5000)
Ti (0.0000, 0.0000, 0.0000)

No. 4
This record from Alexandria via LeMat-Bulk describes an optimized crystal structure of TiPPtS2. The functional is GGA-PBE.

Computed properties:
As for the symmetry: No. 123. The offset from the most stable computed form comes out at 0.134 eV per atom. For the uncorrected formation energy, the calculation gives 490 meV/atom. The mass density comes out at 5.5 Mg/m³.

a b c (Å): 4.7472 4.5195 4.7472
angles (deg): 90.00 90.00 90.00
Fractional positions:
P (0.0000, 0.5000, 0.0000)
S (0.0000, 0.0000, 0.5000)
S (0.5000, 0.0000, 0.0000)
Pt (0.0000, 0.0000, 0.0000)
Ti (0.5000, 0.5000, 0.5000)

No. 5
This record from Alexandria via LeMat-Bulk describes an optimized crystal structure of TlPPtS2. The functional is GGA-PBE.

Computed properties:
As for the symmetry: No. 123. The offset from the most stable computed form comes out at 0.000 eV per atom. For the uncorrected formation energy, the calculation gives 340 meV/atom. The mass density comes out at 7.1 Mg/m³.

a b c (Å): 5.1469 5.1469 4.3895
angles (deg): 90.00 90.00 90.00
Fractional positions:
P (0.0000, 0.0000, 0.5000)
Tl (0.5000, 0.5000, 0.5000)
S (0.0000, 0.5000, 0.0000)
S (0.5000, 0.0000, 0.0000)
Pt (0.0000, 0.0000, 0.0000)

No. 6
This record from Alexandria via LeMat-Bulk describes an optimized crystal structure of TlP2PtS. The functional is GGA-PBE.

Computed properties:
As for the symmetry: No. 123. The offset from the most stable computed form comes out at 0.000 eV per atom. For the uncorrected formation energy, the calculation gives 487 meV/atom. The mass density comes out at 7.1 Mg/m³.

a b c (Å): 4.6378 4.6378 5.3342
angles (deg): 90.00 90.00 90.00
Fractional positions:
P (0.0000, 0.5000, 0.0000)
P (0.5000, 0.0000, 0.0000)
Tl (0.5000, 0.5000, 0.5000)
S (0.0000, 0.0000, 0.5000)
Pt (0.0000, 0.0000, 0.0000)

mass density of number 6 (TlP2PtS)? 7.1 Mg/m³

Which formula does entry 4 have? TiPPtS2